1.
DFT (PBE) results for an optimized crystal structure of HoUS2O.

Summary:
space-group type: P4/nmm, No. 129
uncorrected formation energy: -2.26 eV per atom
raw total energy: -8.072 eV per atom

a = 3.8203 Å, b = 3.8203 Å, c = 13.4347 Å
α = 90.00°, β = 90.00°, γ = 90.00°
With the nearest neighbours (Å) after each atom.
Fractional positions:
Ho  0.5000  0.0000  0.1066  6 S 2.70-2.83
Ho  0.0000  0.5000  0.8934  6 S 2.70-2.83
U  0.5000  0.0000  0.5991  4 O 2.33
U  0.0000  0.5000  0.4009  4 O 2.33
S  0.0000  0.5000  0.6924  1 Ho 2.70, 4 U 2.98
S  0.0000  0.5000  0.1038  5 Ho 2.70-2.83
S  0.5000  0.0000  0.8962  5 Ho 2.70-2.83
S  0.5000  0.0000  0.3076  1 Ho 2.70, 4 U 2.98
O  0.0000  0.0000  0.5000  4 U 2.33
O  0.5000  0.5000  0.5000  4 U 2.33


2.
DFT (PBE) results for an optimized crystal structure of Ho2SbO2.

Summary:
space-group type: P-1, No. 2
uncorrected formation energy: -2.62 eV per atom
raw total energy: -7.262 eV per atom
relative energy among the computed polymorphs: 115 meV/atom

a = 7.3578 Å, b = 6.4039 Å, c = 6.1754 Å
α = 77.78°, β = 52.79°, γ = 54.72°
With the nearest neighbours (Å) after each atom.
Fractional positions:
Ho  0.6023  0.7101  0.8887  4 O 2.22-2.42
Ho  0.8000  0.2116  0.3880  4 O 2.23-2.42
Ho  0.3977  0.2899  0.1113  4 O 2.22-2.42
Ho  0.2000  0.7884  0.6120  4 O 2.23-2.42
Sb  0.7913  0.7607  0.2565  2 Sb 3.15-3.39, 8 Ho 3.20-3.44, 6 O 3.28-3.50
Sb  0.2087  0.2393  0.7435  2 Sb 3.15-3.39, 8 Ho 3.20-3.44, 6 O 3.28-3.50
O  0.5160  0.4762  0.2294  4 Ho 2.23-2.42
O  0.7768  0.9777  0.7310  4 Ho 2.22-2.42
O  0.2232  0.0223  0.2690  4 Ho 2.22-2.42
O  0.4839  0.5238  0.7706  4 Ho 2.23-2.42


3.
DFT (PBE) results for an optimized crystal structure of Ho3SbO7.

Summary:
space-group type: C222_1, No. 20
uncorrected formation energy: -3.00 eV per atom
raw total energy: -7.775 eV per atom

a = 6.4492 Å, b = 6.4492 Å, c = 7.4922 Å
α = 90.00°, β = 90.00°, γ = 109.40°
With the nearest neighbours (Å) after each atom.
Fractional positions:
Ho  0.9995  0.4684  0.7491  7 O 2.20-2.45
Ho  0.0005  0.5316  0.2491  7 O 2.20-2.45
Ho  0.5316  0.0005  0.7509  7 O 2.20-2.45
Ho  0.4684  0.9995  0.2509  7 O 2.20-2.45
Ho  0.5042  0.5042  0.5000  6 O 2.32-2.58
Ho  0.4958  0.4958  0.0000  6 O 2.32-2.58
Sb  0.0000  0.0000  0.5000  6 O 1.99-2.02
Sb  0.0000  0.0000  0.0000  6 O 1.99-2.02
O  0.6376  0.3624  0.7500  4 Ho 2.20-2.37
O  0.3624  0.6376  0.2500  4 Ho 2.20-2.37
O  0.9285  0.0715  0.7500  2 Sb 2.02
O  0.0715  0.9285  0.2500  2 Sb 2.02
O  0.9252  0.6761  0.5295  1 Sb 1.99
O  0.0748  0.3239  0.0295  1 Sb 1.99
O  0.3239  0.0748  0.9705  1 Sb 1.99
O  0.6761  0.9252  0.4705  1 Sb 1.99
O  0.3699  0.6301  0.7500  4 Ho 2.27-2.32
O  0.6301  0.3699  0.2500  4 Ho 2.27-2.32
O  0.9291  0.6778  0.9689  1 Sb 1.99
O  0.0709  0.3222  0.4689  1 Sb 1.99
O  0.3222  0.0709  0.5311  1 Sb 1.99
O  0.6778  0.9291  0.0311  1 Sb 1.99


4.
DFT (PBE) results for an optimized crystal structure of Ho3Sb2O2.

Summary:
space-group type: C2/m, No. 12
uncorrected formation energy: -2.17 eV per atom
raw total energy: -6.723 eV per atom

a = 3.8417 Å, b = 7.3743 Å, c = 6.3835 Å
α = 108.23°, β = 107.51°, γ = 90.00°
With the nearest neighbours (Å) after each atom.
Fractional positions:
Ho  0.0000  0.5000  0.0000  2 O 2.24
Ho  0.3110  0.7089  0.6219  3 O 2.21-2.29
Ho  0.6890  0.2911  0.3781  3 O 2.21-2.29
Sb  0.6182  0.8373  0.2363  5 Ho 3.10-3.40
Sb  0.3818  0.1627  0.7637  5 Ho 3.10-3.40
O  0.8370  0.5791  0.6739  4 Ho 2.21-2.29
O  0.1630  0.4209  0.3261  4 Ho 2.21-2.29


5.
DFT (PBE) results for an optimized crystal structure of HoSbO2.

Summary:
space-group type: R-3m, No. 166
uncorrected formation energy: -1.34 eV per atom
raw total energy: -5.990 eV per atom

a = 3.7270 Å, b = 3.7270 Å, c = 6.7952 Å
α = 74.08°, β = 74.08°, γ = 60.00°
With the nearest neighbours (Å) after each atom.
Fractional positions:
Sb  0.5000  0.5000  0.5000  6 O 2.40
Ho  0.0000  0.0000  0.0000  2 O 2.16
O  0.1118  0.1118  0.6646  1 Ho 2.16, 3 Sb 2.40
O  0.8882  0.8882  0.3354  1 Ho 2.16, 3 Sb 2.40


6.
DFT (PBE) results for an optimized crystal structure of Ho2SbO.

Summary:
space-group type: P2_1/c, No. 14
uncorrected formation energy: -1.92 eV per atom
raw total energy: -6.478 eV per atom
relative energy among the computed polymorphs: 115 meV/atom

a = 7.5846 Å, b = 6.7134 Å, c = 7.5173 Å
α = 90.00°, β = 78.32°, γ = 90.00°
With the nearest neighbours (Å) after each atom.
Fractional positions:
Ho  0.5342  0.6765  0.1823  2 O 2.25-2.27
Ho  0.0342  0.8235  0.1823  2 O 2.25-2.27
Ho  0.8093  0.3837  0.4338  2 O 2.22-2.27
Ho  0.9658  0.1765  0.8177  2 O 2.25-2.27
Ho  0.1907  0.6163  0.5662  2 O 2.22-2.27
Ho  0.6907  0.8837  0.5662  2 O 2.22-2.27
Ho  0.4658  0.3235  0.8177  2 O 2.25-2.27
Ho  0.3093  0.1163  0.4338  2 O 2.22-2.27
Sb  0.1739  0.3769  0.1728  4 Ho 2.96-3.18, 1 O 3.30
Sb  0.3261  0.8769  0.8272  4 Ho 2.96-3.18, 1 O 3.30
Sb  0.6739  0.1231  0.1728  4 Ho 2.96-3.18, 1 O 3.30
Sb  0.8261  0.6231  0.8272  4 Ho 2.96-3.18, 1 O 3.30
O  0.7290  0.1821  0.6786  4 Ho 2.22-2.27
O  0.2290  0.3179  0.6786  4 Ho 2.22-2.27
O  0.2710  0.8179  0.3214  4 Ho 2.22-2.27
O  0.7710  0.6821  0.3214  4 Ho 2.22-2.27


What did the fifth record say?
DFT (PBE) results for an optimized crystal structure of HoSbO2.

Summary:
space-group type: R-3m, No. 166
uncorrected formation energy: -1.34 eV per atom
raw total energy: -5.990 eV per atom

a = 3.7270 Å, b = 3.7270 Å, c = 6.7952 Å
α = 74.08°, β = 74.08°, γ = 60.00°
With the nearest neighbours (Å) after each atom.
Fractional positions:
Sb  0.5000  0.5000  0.5000  6 O 2.40
Ho  0.0000  0.0000  0.0000  2 O 2.16
O  0.1118  0.1118  0.6646  1 Ho 2.16, 3 Sb 2.40
O  0.8882  0.8882  0.3354  1 Ho 2.16, 3 Sb 2.40


Question: Which of these has the highest uncorrected formation energy?
Answer: HoSbO2


Question: The highest uncorrected formation energy belongs to which entry?
Answer: HoSbO2


Question: The highest uncorrected formation energy belongs to which entry?
Answer: HoSbO2